Entry 1:
Li5Ac2Zn4: relaxed, PBE.

Results
Energy of formation (eV/atom): -0.108
Calculated total energy (eV/atom): -2.1886

abc: 13.342 5.653 8.328
angles: 90.00 126.12 90.00
Space group C2/m (No. 12)
One atom of each set of equivalent atoms:
Li1 0.000 0.000 0.000
Li2 0.044 0.252 0.756
Ac1 0.232 0.500 0.289
Zn1 0.116 0.500 0.555
Zn2 0.228 0.000 0.066

Entry 2:
Ge2P2I: relaxed, PBE.

Results
Energy relative to the elements, uncorrected (eV/atom): 0.209
Calculated total energy (eV/atom): -4.1119

abc: 4.320 4.320 12.329
angles: 90.00 90.00 90.00
Space group I4/mmm (No. 139)
One atom of each set of equivalent atoms:
Ge1 0.000 0.500 0.250
P1 0.000 0.000 0.144
I1 0.000 0.000 0.500

Entry 3:
La2SbPd2: relaxed, PBE.

Results
Energy relative to the elements, uncorrected (eV/atom): -0.828
Calculated total energy (eV/atom): -5.7002

abc: 4.047 4.047 16.128
angles: 90.00 90.00 90.00
Space group I4/mmm (No. 139)
One atom of each set of equivalent atoms:
La1 0.000 0.000 0.113
Sb1 0.000 0.000 0.500
Pd1 0.000 0.500 0.250

Which value of calculated total energy does entry 3 give? -5.7002 eV/atom